The following is a DFT calculation (GGA-PBE) of an optimized crystal structure of K2ScPd3F12.

Unit cell a=7.5065 b=7.5065 c=19.5016 alpha=90.00 beta=90.00 gamma=120.00
Last column: nearest neighbours and their distance in Å.
Space group R-3m (No. 166, hexagonal axes)
Symmetry-distinct sites (fractional):
K1 0.0000 0.0000 0.1143  3 F 2.99
Sc1 0.0000 0.0000 0.5000  6 F 2.03
Pd1 0.0000 0.5000 0.0000  6 F 2.10-2.20
F1 0.0534 0.5267 0.3644  2 Pd 2.10
F2 0.0718 0.5359 0.1101  1 Sc 2.03, 1 Pd 2.20

Output
For the total energy, the calculation gives -4.743 eV/atom. For the uncorrected formation energy, the calculation gives -2156 meV per atom.